# CrHg3F6 | Alexandria | PBE+U | relaxed
# Size of the total moment: 2.97 μB/f.u.
# E_tot: -36.83 eV per cell
# Theoretical density: 5.99 g/cm³
# Symmetry: P-1, No. 2
data_CrHg3F6
_cell_length_a 5.3255
_cell_length_b 5.4771
_cell_length_c 7.7825
_cell_angle_alpha 73.65
_cell_angle_beta 85.48
_cell_angle_gamma 77.89
_space_group_name_H-M_alt 'P 1'
_space_group_IT_number 1
loop_
_space_group_symop_operation_xyz
'x,y,z'
loop_
_atom_site_label
_atom_site_type_symbol
_atom_site_fract_x
_atom_site_fract_y
_atom_site_fract_z
Cr1 Cr 0.0000 0.0000 0.0000
Hg1 Hg 0.0000 0.0000 0.5000
Hg2 Hg 0.0000 0.5000 0.5000
Hg3 Hg 0.5000 0.5000 0.0000
F1 F 0.2122 0.2506 0.9924
F2 F 0.2205 0.7348 0.1810
F3 F 0.2258 0.8688 0.8197
F4 F 0.7742 0.1312 0.1803
F5 F 0.7795 0.2652 0.8190
F6 F 0.7878 0.7494 0.0076